Density functional theory data (PBE-GGA) for crystalline CuSiTe2 at its relaxed geometry.

Cell: 8.100 8.100 8.100 Å, 27.03 27.03 27.03°
Element x y z (fractional)
Cu (0.491, 0.491, 0.491)
Si (0.765, 0.765, 0.765)
Te (0.028, 0.028, 0.028)
Te (0.216, 0.216, 0.216)

**D(E_F)**: 1.64 states/eV/f.u.
**Raw total energy**: -15.24 eV/cell
**Formation energy without anion corrections**: 142 meV per atom


Density functional theory data (PBE-GGA) for crystalline U2SiTc at its relaxed geometry.

Cell: 2.850 4.980 4.930 Å, 90.00 90.00 90.63°
Element x y z (fractional)
U (0.260, 0.252, 0.000)
U (0.740, 0.748, 0.000)
Si (0.500, 0.000, 0.500)
Tc (0.000, 0.500, 0.500)

**D(E_F)**: 5.99 states/eV/f.u.
**Raw total energy**: -38.58 eV/cell
**Energy above the most stable polymorph in this dataset**: 223 meV per atom
**Formation energy without anion corrections**: -55 meV per atom


Density functional theory data (PBE-GGA) for crystalline Mg2TcOsPb at its relaxed geometry.

Cell: 4.947 5.153 4.947 Å, 90.00 90.00 90.00°
Each line ends with the local moment (μB).
Element x y z (fractional)
Pb (0.000, 0.500, 0.000)  -0.01
Mg (0.000, 0.000, 0.500)  -0.02
Mg (0.500, 0.000, 0.000)  -0.01
Os (0.000, 0.000, 0.000)  0.27
Tc (0.500, 0.500, 0.500)  3.24

**D(E_F)**: 3.75 states/eV/f.u.
**Energy of formation**: 1.158 eV per atom
**Raw total energy**: -22.70 eV/cell


Density functional theory data (PBE-GGA) for crystalline Li2TlHg2 at its relaxed geometry.

Cell: 4.768 4.768 5.611 Å, 90.00 90.00 120.00°
Element x y z (fractional)
Li (0.333, 0.667, 0.168)
Li (0.667, 0.333, 0.832)
Tl (0.000, 0.000, 0.000)
Hg (0.333, 0.667, 0.658)
Hg (0.667, 0.333, 0.342)

**D(E_F)**: 2.03 states/eV/f.u.
**Energy of formation**: -0.200 eV per atom
**Raw total energy**: -7.80 eV/cell
**Energy above the most stable polymorph in this dataset**: 58 meV per atom


Density functional theory data (PBE-GGA) for crystalline MnSi2Ni9 at its relaxed geometry.

Cell: 3.536 3.536 10.512 Å, 90.00 90.00 90.00°
Each line ends with the local moment (μB).
Element x y z (fractional)
Mn (0.000, 0.000, 0.000)  3.22
Si (0.000, 0.000, 0.334)  -0.01
Si (0.000, 0.000, 0.666)  -0.01
Ni (0.500, 0.500, 0.000)  0.37
Ni (0.500, 0.500, 0.336)  0.14
Ni (0.500, 0.500, 0.664)  0.14
Ni (0.500, 0.000, 0.172)  0.26
Ni (0.500, 0.000, 0.500)  0.07
Ni (0.500, 0.000, 0.828)  0.26
Ni (0.000, 0.500, 0.172)  0.26
Ni (0.000, 0.500, 0.500)  0.07
Ni (0.000, 0.500, 0.828)  0.26

**D(E_F)**: 13.36 states/eV/f.u.
**Raw total energy**: -75.94 eV/cell
**Formation energy without anion corrections**: -324 meV per atom


Density functional theory data (PBE-GGA) for crystalline Mg2Te at its relaxed geometry.

Cell: 7.214 7.214 8.611 Å, 49.80 49.80 32.15°
Element x y z (fractional)
Mg (0.287, 0.287, 0.652)
Mg (0.638, 0.638, 0.076)
Mg (0.713, 0.713, 0.348)
Mg (0.362, 0.362, 0.924)
Te (0.933, 0.933, 0.319)
Te (0.067, 0.067, 0.681)

**D(E_F)**: 1.00 states/eV/f.u.
**Raw total energy**: -14.67 eV/cell
**Formation energy without anion corrections**: -335 meV per atom


Density functional theory data (PBE-GGA) for crystalline TaW4 at its relaxed geometry.

Cell: 6.355 6.355 6.355 Å, 142.24 142.24 54.46°
Element x y z (fractional)
Ta (0.000, 0.000, 0.000)
W (0.750, 0.250, 0.500)
W (0.612, 0.612, 0.000)
W (0.388, 0.388, 0.000)
W (0.250, 0.750, 0.500)

**D(E_F)**: 6.09 states/eV/f.u.
**Energy of formation**: 1.004 eV per atom
**Raw total energy**: -58.64 eV/cell
**Energy above the most stable polymorph in this dataset**: 1090 meV per atom


Density functional theory data (PBE-GGA) for crystalline ZnTe2N at its relaxed geometry.

Cell: 5.498 5.498 7.477 Å, 68.43 68.43 90.00°
Element x y z (fractional)
Zn (0.000, 0.000, 0.000)
Zn (0.750, 0.250, 0.500)
Te (0.558, 0.125, 0.250)
Te (0.192, 0.625, 0.250)
Te (0.375, 0.442, 0.750)
Te (0.875, 0.808, 0.750)
N (0.500, 0.500, 0.000)
N (0.250, 0.750, 0.500)

**D(E_F)**: 3.02 states/eV/f.u.
**Raw total energy**: -27.04 eV/cell
**Energy above the most stable polymorph in this dataset**: 0 meV per atom
**Formation energy without anion corrections**: 590 meV per atom